A geometry-optimized MnSnAsO5 structure, computed with PBE+U.

The structure in POSCAR format:
```
MnSnAsO5
1.0
5.6166 0.7023 -0.2389
-0.9678 5.5770 -0.2389
-2.2016 -2.9737 7.1329
O As Mn Sn
10 2 2 2
Direct
0.9485 0.0515 0.7500 O
0.3174 0.3157 0.1572 O
0.7363 0.2472 0.5014 O
0.2637 0.7528 0.4986 O
0.2472 0.7363 0.0014 O
0.0515 0.9485 0.2500 O
0.3157 0.3174 0.6572 O
0.7528 0.2637 0.9986 O
0.6843 0.6826 0.3428 O
0.6826 0.6843 0.8428 O
0.3384 0.6616 0.7500 As
0.6616 0.3384 0.2500 As
0.2912 0.7088 0.2500 Mn
0.7088 0.2912 0.7500 Mn
0.0000 0.0000 0.0000 Sn
0.0000 0.0000 0.5000 Sn
```

Summary:
Size of the total moment (μB per atom): 0.499
Crystal system: monoclinic
ρ (g cm⁻³): 4.937
Final energy (eV/atom): -6.493
Space-group type: C2/c